i:
Compound: NaAsSCl2
Source: Alexandria via LeMat-Bulk
Functional: PBE
Structure: relaxed

The structure in CIF format:
```
data_NaAsSCl2
_chemical_formula_sum 'Na1 As1 S1 Cl2'
_space_group_name_H-M_alt 'P 4/m m m'
_space_group_IT_number 123
_space_group_name_Hall '-P 4 2'
_cell_length_a 4.798
_cell_length_b 4.798
_cell_length_c 5.272
_cell_angle_alpha 90.00
_cell_angle_beta 90.00
_cell_angle_gamma 90.00
loop_
_atom_site_label
_atom_site_type_symbol
_atom_site_fract_x
_atom_site_fract_y
_atom_site_fract_z
_atom_site_occupancy
Na1 Na 0.000 0.000 0.000 1
As1 As 0.500 0.500 0.500 1
S1 S 0.000 0.000 0.500 1
Cl1 Cl 0.000 0.500 0.000 1
```

## Properties
ρ in Mg/m³: 2.75
Crystal system: tetragonal

---

ii:
Compound: NaAsSCl2
Source: Alexandria via LeMat-Bulk
Functional: PBE
Structure: relaxed

The structure in CIF format:
```
data_NaAsSCl2
_chemical_formula_sum 'Na1 As1 S1 Cl2'
_space_group_name_H-M_alt 'P 4/m m m'
_space_group_IT_number 123
_space_group_name_Hall '-P 4 2'
_cell_length_a 5.198
_cell_length_b 5.198
_cell_length_c 4.723
_cell_angle_alpha 90.00
_cell_angle_beta 90.00
_cell_angle_gamma 90.00
loop_
_atom_site_label
_atom_site_type_symbol
_atom_site_fract_x
_atom_site_fract_y
_atom_site_fract_z
_atom_site_occupancy
Na1 Na 0.000 0.000 0.000 1
As1 As 0.500 0.500 0.500 1
S1 S 0.500 0.500 0.000 1
Cl1 Cl 0.000 0.500 0.500 1
```

## Properties
ρ in Mg/m³: 2.61
Crystal system: tetragonal

---

How far above the most stable structure does each one sit? In eV/atom: i 0.928; ii 0.000.

---

i:
Compound: NaAsSe2Cl
Source: Alexandria via LeMat-Bulk
Functional: PBE
Structure: relaxed

The structure in CIF format:
```
data_NaAsSe2Cl
_chemical_formula_sum 'Na1 As1 Se2 Cl1'
_space_group_name_H-M_alt 'P 4/m m m'
_space_group_IT_number 123
_space_group_name_Hall '-P 4 2'
_cell_length_a 5.281
_cell_length_b 5.281
_cell_length_c 4.924
_cell_angle_alpha 90.00
_cell_angle_beta 90.00
_cell_angle_gamma 90.00
loop_
_atom_site_label
_atom_site_type_symbol
_atom_site_fract_x
_atom_site_fract_y
_atom_site_fract_z
_atom_site_occupancy
Na1 Na 0.000 0.000 0.000 1
As1 As 0.500 0.500 0.000 1
Se1 Se 0.000 0.500 0.500 1
Cl1 Cl 0.500 0.500 0.500 1
```

## Properties
ρ in Mg/m³: 3.52
Crystal system: tetragonal

---

ii:
Compound: NaAsSe2Cl
Source: Alexandria via LeMat-Bulk
Functional: PBE
Structure: relaxed

The structure in CIF format:
```
data_NaAsSe2Cl
_chemical_formula_sum 'Na1 As1 Se2 Cl1'
_space_group_name_H-M_alt 'P 4/m m m'
_space_group_IT_number 123
_space_group_name_Hall '-P 4 2'
_cell_length_a 5.007
_cell_length_b 5.007
_cell_length_c 5.448
_cell_angle_alpha 90.00
_cell_angle_beta 90.00
_cell_angle_gamma 90.00
loop_
_atom_site_label
_atom_site_type_symbol
_atom_site_fract_x
_atom_site_fract_y
_atom_site_fract_z
_atom_site_occupancy
Na1 Na 0.000 0.000 0.000 1
As1 As 0.000 0.000 0.500 1
Se1 Se 0.000 0.500 0.000 1
Cl1 Cl 0.500 0.500 0.500 1
```

## Properties
ρ in Mg/m³: 3.54
Crystal system: tetragonal

---

How far above the most stable structure does each one sit? In eV/atom: i 0.000; ii 0.366.

---

i:
Compound: Nb2AsCl
Source: Alexandria via LeMat-Bulk
Functional: PBE
Structure: relaxed

The structure in CIF format:
```
data_Nb2AsCl
_chemical_formula_sum 'Nb8 As4 Cl4'
_space_group_name_H-M_alt 'F m -3 m'
_space_group_IT_number 225
_space_group_name_Hall '-F 4 2 3'
_cell_length_a 6.442
_cell_length_b 6.442
_cell_length_c 6.442
_cell_angle_alpha 90.00
_cell_angle_beta 90.00
_cell_angle_gamma 90.00
loop_
_atom_site_label
_atom_site_type_symbol
_atom_site_fract_x
_atom_site_fract_y
_atom_site_fract_z
_atom_site_occupancy
Nb1 Nb 0.250 0.250 0.250 1
As1 As 0.000 0.000 0.000 1
Cl1 Cl 0.000 0.000 0.500 1
```

## Properties
ρ in Mg/m³: 7.36
Crystal system: cubic

---

ii:
Compound: Nb2AsCl
Source: Alexandria via LeMat-Bulk
Functional: PBE
Structure: relaxed

The structure in CIF format:
```
data_Nb2AsCl
_chemical_formula_sum 'Nb8 As4 Cl4'
_space_group_name_H-M_alt 'I -4 2 d'
_space_group_IT_number 122
_space_group_name_Hall 'I -4 2bw'
_cell_length_a 6.703
_cell_length_b 6.703
_cell_length_c 6.823
_cell_angle_alpha 90.00
_cell_angle_beta 90.00
_cell_angle_gamma 90.00
loop_
_atom_site_label
_atom_site_type_symbol
_atom_site_fract_x
_atom_site_fract_y
_atom_site_fract_z
_atom_site_occupancy
Nb1 Nb 0.231 0.250 0.125 1
As1 As 0.000 0.000 0.500 1
Cl1 Cl 0.000 0.000 0.000 1
```

## Properties
ρ in Mg/m³: 6.42
Crystal system: tetragonal

---

How far above the most stable structure does each one sit? In eV/atom: i 0.000; ii 0.370.

---

i:
Compound: NbAs2SeCl
Source: Alexandria via LeMat-Bulk
Functional: PBE
Structure: relaxed

The structure in CIF format:
```
data_NbAs2SeCl
_chemical_formula_sum 'Nb1 As2 Se1 Cl1'
_space_group_name_H-M_alt 'P 4/m m m'
_space_group_IT_number 123
_space_group_name_Hall '-P 4 2'
_cell_length_a 5.063
_cell_length_b 5.063
_cell_length_c 4.924
_cell_angle_alpha 90.00
_cell_angle_beta 90.00
_cell_angle_gamma 90.00
loop_
_atom_site_label
_atom_site_type_symbol
_atom_site_fract_x
_atom_site_fract_y
_atom_site_fract_z
_atom_site_occupancy
Nb1 Nb 0.000 0.000 0.000 1
As1 As 0.000 0.500 0.000 1
Se1 Se 0.000 0.000 0.500 1
Cl1 Cl 0.500 0.500 0.500 1
```

## Properties
ρ in Mg/m³: 4.70
Crystal system: tetragonal

---

ii:
Compound: NbAs2SeCl
Source: Alexandria via LeMat-Bulk
Functional: PBE
Structure: relaxed

The structure in CIF format:
```
data_NbAs2SeCl
_chemical_formula_sum 'Nb1 As2 Se1 Cl1'
_space_group_name_H-M_alt 'P 4/m m m'
_space_group_IT_number 123
_space_group_name_Hall '-P 4 2'
_cell_length_a 4.726
_cell_length_b 4.726
_cell_length_c 4.943
_cell_angle_alpha 90.00
_cell_angle_beta 90.00
_cell_angle_gamma 90.00
loop_
_atom_site_label
_atom_site_type_symbol
_atom_site_fract_x
_atom_site_fract_y
_atom_site_fract_z
_atom_site_occupancy
Nb1 Nb 0.000 0.000 0.000 1
As1 As 0.000 0.500 0.500 1
Se1 Se 0.500 0.500 0.000 1
Cl1 Cl 0.500 0.500 0.500 1
```

## Properties
ρ in Mg/m³: 5.37
Crystal system: tetragonal

---

How far above the most stable structure does each one sit? In eV/atom: i 0.000; ii 1.006.

---

i:
Compound: NbAsSe2Cl
Source: Alexandria via LeMat-Bulk
Functional: PBE
Structure: relaxed

The structure in CIF format:
```
data_NbAsSe2Cl
_chemical_formula_sum 'Nb1 As1 Se2 Cl1'
_space_group_name_H-M_alt 'P 4/m m m'
_space_group_IT_number 123
_space_group_name_Hall '-P 4 2'
_cell_length_a 4.947
_cell_length_b 4.947
_cell_length_c 5.208
_cell_angle_alpha 90.00
_cell_angle_beta 90.00
_cell_angle_gamma 90.00
loop_
_atom_site_label
_atom_site_type_symbol
_atom_site_fract_x
_atom_site_fract_y
_atom_site_fract_z
_atom_site_occupancy
Nb1 Nb 0.000 0.000 0.000 1
As1 As 0.000 0.000 0.500 1
Se1 Se 0.000 0.500 0.000 1
Cl1 Cl 0.500 0.500 0.500 1
```

## Properties
ρ in Mg/m³: 4.71
Crystal system: tetragonal

---

ii:
Compound: NbAsSe2Cl
Source: Alexandria via LeMat-Bulk
Functional: PBE
Structure: relaxed

The structure in CIF format:
```
data_NbAsSe2Cl
_chemical_formula_sum 'Nb1 As1 Se2 Cl1'
_space_group_name_H-M_alt 'P 4/m m m'
_space_group_IT_number 123
_space_group_name_Hall '-P 4 2'
_cell_length_a 4.918
_cell_length_b 4.918
_cell_length_c 4.711
_cell_angle_alpha 90.00
_cell_angle_beta 90.00
_cell_angle_gamma 90.00
loop_
_atom_site_label
_atom_site_type_symbol
_atom_site_fract_x
_atom_site_fract_y
_atom_site_fract_z
_atom_site_occupancy
Nb1 Nb 0.000 0.000 0.000 1
As1 As 0.500 0.500 0.000 1
Se1 Se 0.000 0.500 0.500 1
Cl1 Cl 0.500 0.500 0.500 1
```

## Properties
ρ in Mg/m³: 5.26
Crystal system: tetragonal

---

How far above the most stable structure does each one sit? In eV/atom: i 0.000; ii 1.087.